TiTlV3 | PBE-GGA | optimized geometry

Results
The formation enthalpy at 0 K is 5.71 eV/f.u. The calculated volume is 90.1 Å³/cell. The density of states at the Fermi level is 1.735 states/eV/atom. Its spin magnetization is 0.0 μB/cell.

The structure in CIF format:
```
data_TiTlV3
_symmetry_space_group_name_H-M 'P m -3 m'
_symmetry_Int_Tables_number 221
_symmetry_space_group_name_Hall '-P 4 2 3'
_cell_length_a 4.483
_cell_length_b 4.483
_cell_length_c 4.483
_cell_angle_alpha 90.00
_cell_angle_beta 90.00
_cell_angle_gamma 90.00
loop_
_atom_site_label
_atom_site_fract_x
_atom_site_fract_y
_atom_site_fract_z
Ti1 0.000 0.000 0.000
Tl1 0.500 0.500 0.500
V1 0.000 0.000 0.500
```